Density functional theory data (PBE) for a geometry-optimized SnTe3S structure.

Structure (POSCAR):
```
SnTe3S
1.0
5.7058 0.0000 0.0000
0.0000 5.7058 0.0000
0.0000 0.0000 5.7058
Sn Te S
1 3 1
Direct
0.0000 0.0000 0.0000
0.0000 0.0000 0.5000
0.0000 0.5000 0.0000
0.5000 0.0000 0.0000
0.5000 0.5000 0.5000
```

## Properties
The value obtained for the total energy is -2.631 eV per atom. As for the space group: Pm-3m (221). As for the energy above the most stable polymorph in this dataset: 279.7 kJ/mol of formula units. For the total magnetic moment, the calculation gives 1.91 μB per formula unit. The crystal system is cubic. The calculated density comes out at 4.77 g cm⁻³.